{
  "formula": "Ga2HgTeOs",
  "functional": "SCAN",
  "state": "single point on PBEsol structure",
  "lattice_angstrom": [[4.816, 0.000, 0.000], [0.000, 4.816, 0.000], [0.000, 0.000, 5.226]],
  "species": ["Ga", "Ga", "Hg", "Te", "Os"],
  "frac_coords": [[0.000, 0.500, 0.000], [0.500, 0.000, 0.000], [0.000, 0.000, 0.000], [0.500, 0.500, 0.500], [0.000, 0.000, 0.500]],
  "mass_density_g_cm3": 9.0,
  "vol_a3_per_atom": 24.25,
  "e_form_raw_ev_per_fu": 6.41
}

{
  "formula": "POsRh",
  "functional": "SCAN",
  "state": "single point on PBEsol structure",
  "lattice_angstrom": [[-1.426, 1.426, 4.796], [1.426, -1.426, 4.796], [1.426, 1.426, -4.796]],
  "species": ["P", "Os", "Rh"],
  "frac_coords": [[0.000, 0.000, 0.000], [0.365, 0.365, 0.000], [0.654, 0.654, 0.000]],
  "mass_density_g_cm3": 13.8,
  "formation_energy_ev_per_atom": -0.0411,
  "vol_a3_per_atom": 13.00
}

{
  "formula": "Mn2SnSbPd4",
  "functional": "SCAN",
  "state": "single point on PBEsol structure",
  "lattice_angstrom": [[2.238, 1.292, 7.310], [-2.238, 1.292, 7.310], [0.000, -2.584, 7.310]],
  "species": ["Mn", "Mn", "Sn", "Sb", "Pd", "Pd", "Pd", "Pd"],
  "frac_coords": [[0.249, 0.249, 0.249], [0.751, 0.751, 0.751], [0.500, 0.500, 0.500], [0.000, 0.000, 0.000], [0.125, 0.125, 0.125], [0.375, 0.375, 0.375], [0.625, 0.625, 0.625], [0.875, 0.875, 0.875]],
  "mass_density_g_cm3": 10.2,
  "vol_a3_per_atom": 15.86,
  "e_form_raw_ev_per_fu": -4.38
}

{
  "formula": "NbFe3Pd",
  "functional": "SCAN",
  "state": "single point on PBEsol structure",
  "lattice_angstrom": [[4.371, 0.000, 0.000], [0.000, 4.371, 0.000], [0.000, 0.000, 4.371]],
  "species": ["Nb", "Fe", "Fe", "Fe", "Pd"],
  "frac_coords": [[0.000, 0.000, 0.000], [0.000, 0.000, 0.500], [0.000, 0.500, 0.000], [0.500, 0.000, 0.000], [0.500, 0.500, 0.500]],
  "mass_density_g_cm3": 7.3,
  "formation_energy_ev_per_atom": 1.5967,
  "vol_a3_per_atom": 16.70
}

{
  "formula": "TcBi3O8",
  "functional": "SCAN",
  "state": "single point on PBEsol structure",
  "lattice_angstrom": [[11.433, 0.000, 0.000], [0.000, 11.433, 0.000], [0.000, 0.000, 11.433]],
  "species": ["Tc", "Tc", "Tc", "Tc", "Tc", "Tc", "Tc", "Tc", "Bi", "Bi", "Bi", "Bi", "Bi", "Bi", "Bi", "Bi", "Bi", "Bi", "Bi", "Bi", "Bi", "Bi", "Bi", "Bi", "Bi", "Bi", "Bi", "Bi", "Bi", "Bi", "Bi", "Bi", "O", "O", "O", "O", "O", "O", "O", "O", "O", "O", "O", "O", "O", "O", "O", "O", "O", "O", "O", "O", "O", "O", "O", "O", "O", "O", "O", "O", "O", "O", "O", "O", "O", "O", "O", "O", "O", "O", "O", "O", "O", "O", "O", "O", "O", "O", "O", "O", "O", "O", "O", "O", "O", "O", "O", "O", "O", "O", "O", "O", "O", "O", "O", "O"],
  "frac_coords": [[0.116, 0.116, 0.116], [0.119, 0.881, 0.381], [0.381, 0.119, 0.881], [0.384, 0.884, 0.616], [0.616, 0.384, 0.884], [0.619, 0.619, 0.619], [0.881, 0.381, 0.119], [0.884, 0.616, 0.384], [0.115, 0.145, 0.639], [0.115, 0.853, 0.861], [0.139, 0.385, 0.855], [0.139, 0.615, 0.647], [0.145, 0.639, 0.115], [0.147, 0.361, 0.385], [0.353, 0.639, 0.885], [0.355, 0.361, 0.615], [0.361, 0.385, 0.147], [0.361, 0.615, 0.355], [0.385, 0.147, 0.361], [0.385, 0.855, 0.139], [0.615, 0.355, 0.361], [0.615, 0.647, 0.139], [0.639, 0.115, 0.145], [0.639, 0.885, 0.353], [0.645, 0.861, 0.885], [0.647, 0.139, 0.615], [0.853, 0.861, 0.115], [0.855, 0.139, 0.385], [0.861, 0.115, 0.853], [0.861, 0.885, 0.645], [0.885, 0.353, 0.639], [0.885, 0.645, 0.861], [0.000, 0.248, 0.527], [0.000, 0.248, 0.771], [0.000, 0.748, 0.729], [0.000, 0.748, 0.973], [0.027, 0.500, 0.752], [0.028, 0.028, 0.028], [0.032, 0.968, 0.468], [0.053, 0.861, 0.248], [0.056, 0.123, 0.253], [0.123, 0.253, 0.056], [0.139, 0.748, 0.447], [0.226, 0.274, 0.726], [0.229, 0.500, 0.252], [0.230, 0.730, 0.770], [0.247, 0.944, 0.623], [0.248, 0.053, 0.861], [0.248, 0.527, 0.000], [0.248, 0.771, 0.000], [0.252, 0.229, 0.500], [0.252, 0.473, 0.500], [0.252, 0.947, 0.361], [0.253, 0.056, 0.123], [0.270, 0.270, 0.270], [0.271, 0.500, 0.752], [0.274, 0.726, 0.226], [0.361, 0.252, 0.947], [0.377, 0.747, 0.556], [0.444, 0.877, 0.753], [0.447, 0.139, 0.748], [0.468, 0.032, 0.968], [0.472, 0.972, 0.528], [0.473, 0.500, 0.252], [0.500, 0.252, 0.229], [0.500, 0.252, 0.473], [0.500, 0.752, 0.027], [0.500, 0.752, 0.271], [0.527, 0.000, 0.248], [0.528, 0.472, 0.972], [0.532, 0.532, 0.532], [0.553, 0.639, 0.752], [0.556, 0.377, 0.747], [0.623, 0.247, 0.944], [0.639, 0.752, 0.553], [0.726, 0.226, 0.274], [0.729, 0.000, 0.748], [0.730, 0.770, 0.230], [0.747, 0.556, 0.377], [0.748, 0.447, 0.139], [0.748, 0.729, 0.000], [0.748, 0.973, 0.000], [0.752, 0.027, 0.500], [0.752, 0.271, 0.500], [0.752, 0.553, 0.639], [0.753, 0.444, 0.877], [0.770, 0.230, 0.730], [0.771, 0.000, 0.248], [0.774, 0.774, 0.774], [0.861, 0.248, 0.053], [0.877, 0.753, 0.444], [0.944, 0.623, 0.247], [0.947, 0.361, 0.252], [0.968, 0.468, 0.032], [0.972, 0.528, 0.472], [0.973, 0.000, 0.748]],
  "mass_density_g_cm3": 7.6,
  "vol_a3_per_atom": 15.57,
  "e_form_raw_ev_per_fu": -16.38
}

{
  "formula": "Al3Ag7",
  "functional": "SCAN",
  "state": "single point on PBEsol structure",
  "lattice_angstrom": [[2.918, 0.000, 0.000], [0.000, 3.961, 0.000], [0.000, 0.000, 14.102]],
  "species": ["Al", "Al", "Al", "Ag", "Ag", "Ag", "Ag", "Ag", "Ag", "Ag"],
  "frac_coords": [[0.000, 0.000, 0.000], [0.000, 0.000, 0.202], [0.500, 0.500, 0.894], [0.000, 0.000, 0.396], [0.000, 0.000, 0.601], [0.000, 0.000, 0.809], [0.500, 0.500, 0.090], [0.500, 0.500, 0.290], [0.500, 0.500, 0.497], [0.500, 0.500, 0.702]],
  "mass_density_g_cm3": 8.5,
  "formation_energy_ev_per_atom": -0.0547,
  "vol_a3_per_atom": 16.30
}

{
  "formula": "Sr2PtN2",
  "functional": "SCAN",
  "state": "single point on PBEsol structure",
  "lattice_angstrom": [[-1.910, 1.910, 6.344], [1.910, -1.910, 6.344], [1.910, 1.910, -6.344]],
  "species": ["Sr", "Sr", "Pt", "N", "N"],
  "frac_coords": [[0.149, 0.149, 0.000], [0.851, 0.851, 0.000], [0.500, 0.500, 0.000], [0.350, 0.350, 0.000], [0.650, 0.650, 0.000]],
  "mass_density_g_cm3": 7.1,
  "vol_a3_per_atom": 18.51,
  "e_form_raw_ev_per_fu": -3.97
}

{
  "formula": "Sm2Ti3Bi2O12",
  "functional": "SCAN",
  "state": "single point on PBEsol structure",
  "lattice_angstrom": [[-1.891, 1.891, 16.258], [1.891, -1.891, 16.258], [1.891, 1.891, -16.258]],
  "species": ["Sm", "Sm", "Ti", "Ti", "Ti", "Bi", "Bi", "O", "O", "O", "O", "O", "O", "O", "O", "O", "O", "O", "O"],
  "frac_coords": [[0.066, 0.066, 0.000], [0.934, 0.934, 0.000], [0.373, 0.373, 0.000], [0.500, 0.500, 0.000], [0.627, 0.627, 0.000], [0.211, 0.211, 0.000], [0.789, 0.789, 0.000], [0.000, 0.500, 0.500], [0.113, 0.613, 0.500], [0.250, 0.750, 0.500], [0.318, 0.318, 0.000], [0.387, 0.887, 0.500], [0.441, 0.441, 0.000], [0.500, 0.000, 0.500], [0.559, 0.559, 0.000], [0.613, 0.113, 0.500], [0.682, 0.682, 0.000], [0.750, 0.250, 0.500], [0.887, 0.387, 0.500]],
  "mass_density_g_cm3": 7.5,
  "vol_a3_per_atom": 12.23,
  "e_form_raw_ev_per_fu": -55.35
}

{
  "formula": "Be2HgBr",
  "functional": "SCAN",
  "state": "single point on PBEsol structure",
  "lattice_angstrom": [[3.343, 0.000, 0.000], [0.000, 3.473, 0.000], [0.000, 0.000, 6.310]],
  "species": ["Be", "Be", "Hg", "Br"],
  "frac_coords": [[0.000, 0.000, 0.000], [0.000, 0.500, 0.500], [0.500, 0.000, 0.500], [0.500, 0.500, 0.000]],
  "de_polymorph_mev_per_atom": 103,
  "mass_density_g_cm3": 6.8,
  "vol_a3_per_atom": 18.32,
  "e_form_raw_ev_per_fu": 2.25
}

{
  "formula": "ZrFe2Cl",
  "functional": "SCAN",
  "state": "single point on PBEsol structure",
  "lattice_angstrom": [[0.000, 3.053, 3.053], [3.053, 0.000, 3.053], [3.053, 3.053, 0.000]],
  "species": ["Zr", "Fe", "Fe", "Cl"],
  "frac_coords": [[0.000, 0.000, 0.000], [0.250, 0.250, 0.250], [0.750, 0.750, 0.750], [0.500, 0.500, 0.500]],
  "de_polymorph_mev_per_atom": 664,
  "mass_density_g_cm3": 7.0,
  "vol_a3_per_atom": 14.23,
  "e_form_raw_ev_per_fu": 3.09
}

{
  "formula": "Pr2SbO5F",
  "functional": "SCAN",
  "state": "single point on PBEsol structure",
  "lattice_angstrom": [[6.994, 0.000, 0.000], [0.000, 6.612, 0.000], [-0.673, 0.000, 10.101]],
  "species": ["Pr", "Pr", "Pr", "Pr", "Pr", "Pr", "Pr", "Pr", "Sb", "Sb", "Sb", "Sb", "O", "O", "O", "O", "O", "O", "O", "O", "O", "O", "O", "O", "O", "O", "O", "O", "O", "O", "O", "O", "F", "F", "F", "F"],
  "frac_coords": [[0.122, 0.000, 0.035], [0.133, 0.811, 0.663], [0.368, 0.373, 0.837], [0.373, 0.183, 0.465], [0.627, 0.683, 0.535], [0.632, 0.873, 0.163], [0.867, 0.311, 0.337], [0.878, 0.500, 0.965], [0.113, 0.740, 0.323], [0.392, 0.447, 0.177], [0.608, 0.947, 0.823], [0.887, 0.240, 0.677], [0.048, 0.158, 0.535], [0.049, 0.017, 0.271], [0.082, 0.143, 0.814], [0.193, 0.356, 0.041], [0.202, 0.441, 0.324], [0.301, 0.746, 0.175], [0.312, 0.827, 0.462], [0.412, 0.055, 0.690], [0.448, 0.027, 0.967], [0.474, 0.178, 0.235], [0.526, 0.678, 0.765], [0.552, 0.527, 0.033], [0.588, 0.555, 0.310], [0.688, 0.327, 0.538], [0.699, 0.246, 0.825], [0.798, 0.941, 0.676], [0.807, 0.856, 0.959], [0.918, 0.643, 0.186], [0.951, 0.517, 0.729], [0.952, 0.658, 0.465], [0.170, 0.708, 0.895], [0.322, 0.473, 0.605], [0.678, 0.973, 0.395], [0.830, 0.208, 0.105]],
  "mass_density_g_cm3": 7.1,
  "vol_a3_per_atom": 12.98,
  "e_form_raw_ev_per_fu": -27.83
}

{
  "formula": "Lu4B6O15",
  "functional": "SCAN",
  "state": "single point on PBEsol structure",
  "lattice_angstrom": [[6.583, 3.800, 2.274], [-6.583, 3.800, 2.274], [0.000, -7.601, 2.274]],
  "species": ["Lu", "Lu", "Lu", "Lu", "B", "B", "B", "B", "B", "B", "O", "O", "O", "O", "O", "O", "O", "O", "O", "O", "O", "O", "O", "O", "O"],
  "frac_coords": [[0.000, 0.000, 0.000], [0.190, 0.889, 0.714], [0.714, 0.190, 0.889], [0.889, 0.714, 0.190], [0.152, 0.491, 0.388], [0.388, 0.152, 0.491], [0.491, 0.388, 0.152], [0.498, 0.725, 0.797], [0.725, 0.797, 0.498], [0.797, 0.498, 0.725], [0.011, 0.282, 0.178], [0.112, 0.648, 0.400], [0.178, 0.011, 0.282], [0.282, 0.178, 0.011], [0.316, 0.525, 0.576], [0.400, 0.112, 0.648], [0.491, 0.909, 0.873], [0.525, 0.576, 0.316], [0.576, 0.316, 0.525], [0.648, 0.400, 0.112], [0.685, 0.745, 0.940], [0.745, 0.940, 0.685], [0.873, 0.491, 0.909], [0.909, 0.873, 0.491], [0.940, 0.685, 0.745]],
  "de_polymorph_mev_per_atom": 95,
  "mass_density_g_cm3": 4.9,
  "vol_a3_per_atom": 13.65,
  "e_form_raw_ev_per_fu": -78.98
}

{
  "formula": "CdP2RhCl",
  "functional": "SCAN",
  "state": "single point on PBEsol structure",
  "lattice_angstrom": [[4.504, 0.000, 0.000], [0.000, 4.504, 0.000], [0.000, 0.000, 4.996]],
  "species": ["Cd", "P", "P", "Rh", "Cl"],
  "frac_coords": [[0.000, 0.000, 0.000], [0.000, 0.500, 0.500], [0.500, 0.000, 0.500], [0.500, 0.500, 0.500], [0.500, 0.500, 0.000]],
  "mass_density_g_cm3": 5.1,
  "vol_a3_per_atom": 20.27,
  "e_form_raw_ev_per_fu": 1.37
}

{
  "formula": "Ca2Mg2Zn",
  "functional": "SCAN",
  "state": "single point on PBEsol structure",
  "lattice_angstrom": [[2.637, 1.523, 5.427], [-2.637, 1.523, 5.427], [0.000, -3.045, 5.427]],
  "species": ["Ca", "Ca", "Mg", "Mg", "Zn"],
  "frac_coords": [[0.110, 0.110, 0.110], [0.890, 0.890, 0.890], [0.329, 0.329, 0.329], [0.671, 0.671, 0.671], [0.500, 0.500, 0.500]],
  "de_polymorph_mev_per_atom": 7,
  "mass_density_g_cm3": 2.5,
  "formation_energy_ev_per_atom": -0.1302,
  "vol_a3_per_atom": 26.15
}

{
  "formula": "FePtF3",
  "functional": "SCAN",
  "state": "single point on PBEsol structure",
  "lattice_angstrom": [[4.233, 0.000, 0.000], [0.000, 4.233, 0.000], [0.000, 0.000, 4.233]],
  "species": ["Fe", "Pt", "F", "F", "F"],
  "frac_coords": [[0.000, 0.000, 0.000], [0.500, 0.500, 0.500], [0.000, 0.500, 0.500], [0.500, 0.000, 0.500], [0.500, 0.500, 0.000]],
  "de_polymorph_mev_per_atom": 583,
  "mass_density_g_cm3": 6.7,
  "vol_a3_per_atom": 15.17,
  "e_form_raw_ev_per_fu": -2.05
}

{
  "formula": "BeSiW",
  "functional": "SCAN",
  "state": "single point on PBEsol structure",
  "lattice_angstrom": [[-1.369, 1.644, 4.088], [1.369, -1.644, 4.088], [1.369, 1.644, -4.088]],
  "species": ["Be", "Si", "W"],
  "frac_coords": [[0.000, 0.000, 0.000], [0.646, 0.646, 0.000], [0.330, 0.330, 0.000]],
  "de_polymorph_mev_per_atom": 0,
  "mass_density_g_cm3": 10.0,
  "vol_a3_per_atom": 12.26,
  "e_form_raw_ev_per_fu": 0.27
}

{
  "formula": "Rb2Zn3P4O14",
  "functional": "SCAN",
  "state": "single point on PBEsol structure",
  "lattice_angstrom": [[7.218, 0.000, 0.000], [0.000, 7.240, 0.000], [-0.501, 0.000, 13.239]],
  "species": ["Rb", "Rb", "Rb", "Rb", "Zn", "Zn", "Zn", "Zn", "Zn", "Zn", "P", "P", "P", "P", "P", "P", "P", "P", "O", "O", "O", "O", "O", "O", "O", "O", "O", "O", "O", "O", "O", "O", "O", "O", "O", "O", "O", "O", "O", "O", "O", "O", "O", "O", "O", "O"],
  "frac_coords": [[0.058, 0.000, 0.084], [0.389, 0.748, 0.590], [0.611, 0.248, 0.410], [0.942, 0.500, 0.916], [0.209, 0.251, 0.598], [0.210, 0.369, 0.237], [0.449, 0.339, 0.886], [0.551, 0.839, 0.114], [0.790, 0.869, 0.763], [0.791, 0.751, 0.402], [0.111, 0.026, 0.391], [0.163, 0.038, 0.809], [0.366, 0.736, 0.316], [0.431, 0.763, 0.889], [0.569, 0.263, 0.111], [0.634, 0.236, 0.684], [0.837, 0.538, 0.191], [0.889, 0.526, 0.609], [0.000, 0.435, 0.146], [0.000, 0.935, 0.854], [0.088, 0.487, 0.578], [0.119, 0.139, 0.295], [0.124, 0.084, 0.698], [0.186, 0.819, 0.369], [0.221, 0.198, 0.878], [0.237, 0.100, 0.478], [0.331, 0.579, 0.872], [0.338, 0.899, 0.804], [0.346, 0.527, 0.331], [0.354, 0.794, 0.205], [0.364, 0.256, 0.135], [0.394, 0.847, 0.992], [0.469, 0.318, 0.623], [0.531, 0.818, 0.377], [0.606, 0.347, 0.008], [0.636, 0.756, 0.865], [0.646, 0.294, 0.795], [0.654, 0.027, 0.669], [0.662, 0.399, 0.196], [0.669, 0.079, 0.128], [0.763, 0.600, 0.522], [0.779, 0.698, 0.122], [0.814, 0.319, 0.631], [0.876, 0.584, 0.302], [0.881, 0.639, 0.705], [0.912, 0.987, 0.422]],
  "mass_density_g_cm3": 3.4,
  "vol_a3_per_atom": 15.04,
  "e_form_raw_ev_per_fu": -53.83
}